[1]
## LaCd3Ag (PBE)

Data for a relaxed LaCd3Ag crystal.

```
10
Lattice="-1.240 0.729 -5.643 -6.582 -2.345 1.143 1.447 6.906 0.574" Properties=species:S:1:pos:R:3 pbc="T T T"
Cd -2.578 0.611 -0.857
Cd -5.337 -0.372 -0.377
Cd -3.797 4.679 -3.068
Cd -1.644 2.767 -3.789
Cd -4.731 2.524 -0.137
Cd -1.038 5.662 -3.548
Ag -7.202 -1.980 -1.678
Ag -1.240 0.729 -5.643
La -1.539 4.005 -0.647
La -4.836 1.286 -3.278
```

Its space group is P6_3/mmc, No. 194. The calculation puts the polymorph energy (0 for the lowest one) at 0.036 eV/atom. Its energy relative to the elements is -0.21 eV/atom.

[2]
## LaCd12Ag6 (PBE)

Data for a relaxed LaCd12Ag6 crystal.

```
19
Lattice="-3.414 3.378 6.301 -0.738 -7.796 1.203 7.740 1.478 0.824" Properties=species:S:1:pos:R:3 pbc="T T T"
Cd -0.557 -1.502 3.000
Cd 2.830 -5.796 2.190
Cd 2.237 -1.978 1.628
Cd -1.488 -5.060 4.310
Cd 1.566 0.821 2.905
Cd 1.351 -0.962 6.699
Cd 2.022 -3.761 5.422
Cd 5.076 2.120 4.017
Cd 4.145 -1.438 5.327
Cd -2.524 -0.734 6.284
Cd 6.112 -2.206 2.043
Cd 0.758 2.856 6.137
Ag 2.858 1.158 5.419
Ag 0.730 -4.098 2.908
Ag 3.973 -3.497 3.295
Ag -0.674 -2.706 5.577
Ag 4.262 -0.234 2.750
Ag -0.385 0.558 5.032
La 0.000 0.000 0.000
```

Its space group is R-3m, No. 166. Its energy relative to the elements is -0.04 eV/atom.

[3]
## La3Cd3Ag2 (PBE)

Data for a relaxed La3Cd3Ag2 crystal.

```
16
Lattice="-0.058 4.177 2.615 -0.536 -4.992 3.318 16.208 -0.729 1.521" Properties=species:S:1:pos:R:3 pbc="T T T"
Ag 14.143 -0.234 5.330
Ag 6.153 -1.520 2.563
Ag 1.472 -1.309 2.124
Ag 9.461 -0.024 4.891
Cd 8.372 -2.613 4.359
Cd 11.977 0.772 3.675
Cd 0.537 1.371 2.466
Cd 15.078 -2.915 4.988
Cd 3.637 -2.316 3.779
Cd 7.243 1.069 3.095
La 11.774 -2.511 4.271
La 1.190 -0.414 5.332
La 3.841 0.967 3.183
La 14.425 -1.129 2.121
La 9.702 -0.917 1.678
La 5.913 -0.627 5.775
```

Its space group is Cmcm, No. 63. Its energy relative to the elements is -0.30 eV/atom.

Spin magnetization in μB/cell, matching the order above: 0.001, 0.000, 0.000